! Ta2W | the Alexandria database | PBE-GGA | relaxed; values from VASP
! E_form: 0.6795 eV/atom
! Mass density: 14569 kg/m3
! Distance to the lowest polymorph of the same formula: 758 meV/atom
&SYSTEM
  ibrav = 0, nat = 3, ntyp = 2
/
ATOMIC_SPECIES
Ta 180.95 Ta.upf
W 183.84 W.upf
ATOMIC_POSITIONS angstrom
Ta 6.6712 3.8516 2.7235
Ta 2.2237 1.2839 0.9078
W 0.0000 0.0000 0.0000
CELL_PARAMETERS angstrom
4.4474 0.0000 0.0000
2.2237 3.8516 0.0000
2.2237 1.2839 3.6313

! Ca2AgSb | the Alexandria database | PBE-GGA | relaxed; values from VASP
! Raw formation energy: -600 meV per atom
! Mass density: 4745 kg/m3
&SYSTEM
  ibrav = 0, nat = 4, ntyp = 3
/
ATOMIC_SPECIES
Ag 107.87 Ag.upf
Sb 121.76 Sb.upf
Ca 40.08 Ca.upf
ATOMIC_POSITIONS angstrom
Ag -7.4086 -0.3103 2.8860
Sb -3.1231 0.9655 0.3869
Ca -5.8456 -0.4712 5.7677
Ca -4.2919 -1.2711 2.5151
CELL_PARAMETERS angstrom
-1.9608 3.2068 -1.7252
-2.7189 -2.0851 -0.7857
-5.8521 -0.4665 5.7838

! TaTc2Pt | the Alexandria database | PBE-GGA | relaxed; values from VASP
! E_form: -0.1920 eV/atom
! Mass density: 15203 kg/m3
! Distance to the lowest polymorph of the same formula: 167 meV/atom
&SYSTEM
  ibrav = 0, nat = 4, ntyp = 3
/
ATOMIC_SPECIES
Ta 180.95 Ta.upf
Pt 195.08 Pt.upf
Tc 98.00 Tc.upf
ATOMIC_POSITIONS angstrom
Ta -2.2055 0.5783 1.6406
Pt -4.3844 1.1980 3.2139
Tc -6.6279 1.7689 4.8998
Tc -1.3712 -2.5018 3.8289
CELL_PARAMETERS angstrom
-2.8957 3.2823 2.0908
-4.5251 1.6848 0.4635
-1.3831 -2.5628 3.9007

! Li8Ag2Ge | the Alexandria database | PBE-GGA | relaxed; values from VASP
! E_form: -0.2139 eV/atom
! Mass density: 3180 kg/m3
! Distance to the lowest polymorph of the same formula: 0 meV/atom
&SYSTEM
  ibrav = 0, nat = 11, ntyp = 3
/
ATOMIC_SPECIES
Li 6.94 Li.upf
Ge 72.64 Ge.upf
Ag 107.87 Ag.upf
ATOMIC_POSITIONS angstrom
Li -3.0980 -4.6014 2.8189
Li -0.9923 -0.3804 4.2380
Li -3.5138 -1.0976 5.2780
Ge -2.1341 0.0916 -0.4915
Li -1.1344 -3.1234 4.3435
Li -2.5076 -5.2406 0.1362
Li 0.0139 -4.5234 -0.9039
Ag -2.9392 -1.8814 2.6367
Li -0.4020 -1.0196 1.5553
Li -2.3655 -2.4976 0.0306
Ag -0.5607 -3.7396 1.7375
CELL_PARAMETERS angstrom
-4.2681 0.1833 -0.9829
0.1696 -6.0166 -1.8584
0.5986 0.2123 7.2155

! RbNdSnS3 | the Alexandria database | PBE-GGA | relaxed; values from VASP
! Raw formation energy: -1346 meV per atom
! Mass density: 3715 kg/m3
&SYSTEM
  ibrav = 0, nat = 12, ntyp = 4
/
ATOMIC_SPECIES
Nd 144.24 Nd.upf
S 32.06 S.upf
Rb 85.47 Rb.upf
Sn 118.71 Sn.upf
ATOMIC_POSITIONS angstrom
Nd 3.1108 0.0179 9.6556
S 3.1108 0.9131 6.9079
S 1.0369 -1.7943 8.7543
S 1.0369 4.0530 4.3682
Rb 1.0369 1.0006 2.8278
S 1.0369 1.8843 10.1550
S 3.1108 6.7604 2.5218
Nd 1.0369 4.9482 1.6205
Sn 3.1108 5.6373 4.8267
Rb 3.1108 3.9655 8.4484
S 3.1108 3.0818 1.1211
Sn 1.0369 -0.6712 6.4494
CELL_PARAMETERS angstrom
4.1478 0.0000 0.0000
0.0000 8.4888 -0.0236
0.0000 -3.5227 11.2998

! RbPtBr | the Alexandria database | PBE-GGA | relaxed; values from VASP
! Raw formation energy: -397 meV per atom
! Mass density: 5776 kg/m3
! Distance to the lowest polymorph of the same formula: 265 meV/atom
&SYSTEM
  ibrav = 0, nat = 6, ntyp = 3
/
ATOMIC_SPECIES
Br 79.90 Br.upf
Pt 195.08 Pt.upf
Rb 85.47 Rb.upf
ATOMIC_POSITIONS angstrom
Br -10.9420 1.1533 -3.2593
Pt -5.0266 -0.8579 1.3356
Rb -2.7341 0.4015 3.6060
Pt -6.4400 1.1171 1.4658
Br 0.7622 0.1511 4.1760
Rb -8.7377 -0.1465 -0.7969
CELL_PARAMETERS angstrom
-7.4299 3.5378 -3.1109
-5.4022 -2.8287 -1.0481
2.1619 0.1969 5.7941

! Tl2RhW4 | the Alexandria database | PBE-GGA | relaxed; values from VASP
! E_form: 2.0102 eV/atom
! Mass density: 13129 kg/m3
&SYSTEM
  ibrav = 0, nat = 7, ntyp = 3
/
ATOMIC_SPECIES
Tl 204.38 Tl.upf
Rh 102.91 Rh.upf
W 183.84 W.upf
ATOMIC_POSITIONS angstrom
Tl 4.6794 4.6794 5.1754
Tl 2.3397 2.3397 2.0276
Rh 0.0000 0.0000 0.0000
W 2.3397 0.0000 0.0000
W 2.3397 2.3397 4.8225
W 0.0000 2.3397 0.0000
W 4.6794 4.6794 2.3805
CELL_PARAMETERS angstrom
4.6794 0.0000 0.0000
0.0000 4.6794 0.0000
2.3397 2.3397 7.2030

! NaUF6 | the Alexandria database | PBE-GGA | relaxed; values from VASP
! Raw formation energy: -3444 meV per atom
! Mass density: 3635 kg/m3
&SYSTEM
  ibrav = 0, nat = 8, ntyp = 3
/
ATOMIC_SPECIES
U 238.03 U.upf
F 19.00 F.upf
Na 22.99 Na.upf
ATOMIC_POSITIONS angstrom
U 0.0000 0.0000 0.0000
F -2.5113 -4.8202 3.6997
F -5.5057 -6.1094 4.0606
F -5.3112 -7.4033 1.0528
F -2.9747 -8.0383 3.2656
Na -3.9113 -6.1118 2.3762
F -2.3168 -6.1141 0.6919
F -4.8478 -4.1853 1.4869
CELL_PARAMETERS angstrom
-5.6913 -2.4502 0.6859
-0.8807 -6.1163 -0.8251
-1.2505 -3.6570 4.8916

! Y3Pt | the Alexandria database | PBE-GGA | relaxed; values from VASP
! E_form: -0.3339 eV/atom
! Mass density: 7578 kg/m3
&SYSTEM
  ibrav = 0, nat = 8, ntyp = 2
/
ATOMIC_SPECIES
Y 88.91 Y.upf
Pt 195.08 Pt.upf
ATOMIC_POSITIONS angstrom
Y -4.4081 -2.6930 -1.1507
Y -0.1352 -2.6133 -4.6000
Pt 0.0000 0.0000 0.0000
Y -2.2439 -0.9964 -2.1781
Y 0.2471 -5.2833 0.1841
Y 1.0266 -2.4652 -1.9081
Y -1.3605 -2.8921 0.7463
Pt -1.7185 -4.2358 -2.2266
CELL_PARAMETERS angstrom
-2.3236 -0.2963 -5.3837
3.2151 -4.7823 -1.1244
-4.3285 -3.3931 2.0549

! La2RuBr | the Alexandria database | PBE-GGA | relaxed; values from VASP
! Raw formation energy: -429 meV per atom
! Mass density: 7729 kg/m3
! Distance to the lowest polymorph of the same formula: 480 meV/atom
&SYSTEM
  ibrav = 0, nat = 4, ntyp = 3
/
ATOMIC_SPECIES
La 138.91 La.upf
Br 79.90 Br.upf
Ru 101.07 Ru.upf
ATOMIC_POSITIONS angstrom
La 0.5723 -1.9673 2.8712
Br 0.0831 0.8815 3.4143
La 0.0000 0.0000 0.0000
Ru -2.0457 -1.3328 5.1484
CELL_PARAMETERS angstrom
-2.5349 1.5159 5.6915
-1.5565 -4.1816 4.6052
4.7467 1.5798 -4.0112

! AcPbO | the Alexandria database | PBE-GGA | relaxed; values from VASP
! Raw formation energy: -2087 meV per atom
! Mass density: 9292 kg/m3
! Distance to the lowest polymorph of the same formula: 0 meV/atom
&SYSTEM
  ibrav = 0, nat = 6, ntyp = 3
/
ATOMIC_SPECIES
Ac 227.00 Ac.upf
O 16.00 O.upf
Pb 207.20 Pb.upf
ATOMIC_POSITIONS angstrom
Ac 1.2416 2.7163 2.0244
Ac 3.0791 0.5718 8.4292
O 3.4242 2.7162 0.8629
Pb 1.0673 2.7160 5.8573
O 1.2996 0.5724 0.7761
Pb 3.2534 0.5720 4.5962
CELL_PARAMETERS angstrom
4.2482 -0.0002 0.1965
0.0002 4.2879 0.0003
-0.4031 -0.0006 8.8145

! BaCaIr2 | the Alexandria database | PBE-GGA | relaxed; values from VASP
! E_form: 0.2333 eV/atom
! Mass density: 10244 kg/m3
! Distance to the lowest polymorph of the same formula: 491 meV/atom
&SYSTEM
  ibrav = 0, nat = 4, ntyp = 3
/
ATOMIC_SPECIES
Ir 192.22 Ir.upf
Ca 40.08 Ca.upf
Ba 137.33 Ba.upf
ATOMIC_POSITIONS angstrom
Ir 0.0000 0.0000 4.3997
Ir 0.0000 0.0000 8.1999
Ca 1.6427 1.6500 6.2998
Ba 1.6427 1.6500 2.0999
CELL_PARAMETERS angstrom
3.2928 0.0072 0.0000
-0.0075 3.2928 0.0000
0.0000 0.0000 8.3998

Number 4 is which compound?
Li8Ag2Ge